Computed, not measured: Tm2LuRu after structural relaxation at the PBE-GGA level of DFT.

Unit cell a=3.391 b=3.391 c=8.644 alpha=90.00 beta=90.00 gamma=90.00
Element x y z (fractional)
1 Lu 0.500 0.500 0.500
2 Ru 0.500 0.500 0.000
3 Tm 0.000 0.000 0.812
4 Tm 0.000 0.000 0.188

Results
Crystal system   tetragonal
Final energy   -0.436 Ry/atom
ΔE to the lowest computed polymorph   0 meV/atom
ΔE_f   -0.99 eV per formula unit
M_tot   0.00 μB/f.u.
Volume   99.4 Å³/cell